Below is crystalline Dy3TmTl4Te8 at its relaxed geometry, with properties calculated at the GGA-PBE level.

Properties
The uncorrected formation energy comes out at -1.05 eV/atom. The volume is 1677.83 Å³ per cell.

a b c (Å): 8.8811 8.8811 24.5633
angles (deg): 90.00 90.00 120.00
Space group R-3m (No. 166, hexagonal axes)
Inequivalent atoms, fractional coordinates:
Dy  0.0000  0.5000  0.0000 [9 per cell]
Tm  0.0000  0.0000  0.0000 [3 per cell]
Tl  0.0000  0.0000  0.5000 [3 per cell]
Tl  0.0000  0.5000  0.5000 [9 per cell]
Te  0.0000  0.0000  0.2621 [6 per cell]
Te  0.0026  0.5013  0.7374 [18 per cell]